(1)
The following is a DFT calculation (SCAN) of a crystal of Y2TcAg relaxed with PBEsol.

space-group type = No. 123
VASP energy = -122.97 eV per cell
total moment = 0.00 μB per cell
formation energy from the elements = -0.215 eV/atom

The structure in POSCAR format:
```
Y2TcAg
1.0
3.427 0.000 0.000
0.000 3.427 0.000
0.000 0.000 7.183
Y Tc Ag
2 1 1
Cartesian
0.000 0.000 1.969
0.000 0.000 5.214
1.713 1.713 3.592
1.713 1.713 0.000
```

---

(2)
The following is a DFT calculation (SCAN) of a crystal of CoCuPt2 relaxed with PBEsol.

space-group type = No. 166
VASP energy = -173.44 eV per cell
total moment = 2.31 μB per cell
formation energy from the elements = -0.137 eV/atom

The structure in POSCAR format:
```
CoCuPt2
1.0
-0.661 0.810 2.471
1.747 -0.281 2.016
3.530 7.860 -0.177
Pt Cu Co
2 1 1
Cartesian
1.165 2.124 1.072
3.451 6.266 3.238
0.000 0.000 0.000
2.308 4.195 2.155
```

---

(3)
The following is a DFT calculation (SCAN) of a crystal of CaTa2Se relaxed with PBEsol.

space-group type = No. 99
VASP energy = -163.15 eV per cell
uncorrected formation energy = -0.0609 eV/atom
total moment = 0.00 μB per cell

The structure in POSCAR format:
```
CaTa2Se
1.0
3.403 0.000 0.000
0.000 3.403 0.000
0.000 0.000 7.137
Ca Ta Se
1 2 1
Cartesian
0.000 0.000 3.635
0.000 0.000 0.010
1.701 1.701 1.375
1.701 1.701 5.685
```